MnBeOsO6 | Alexandria | GGA+U | relaxed; M_tot = 4.88 μB/f.u.; theoretical density = 6.30 g cm⁻³; total DFT energy (no corrections) = -7.1189 eV per atom; space group = P-31c, No. 163
1.0
4.827 0.000 0.000
-2.413 4.180 0.000
0.000 0.000 9.142
Mn Be Os O
2 2 2 12
direct
0.000 0.000 0.000 Mn
0.000 0.000 0.500 Mn
0.333 0.667 0.250 Be
0.667 0.333 0.750 Be
0.333 0.667 0.750 Os
0.667 0.333 0.250 Os
0.006 0.361 0.138 O
0.006 0.645 0.362 O
0.355 0.361 0.362 O
0.355 0.994 0.138 O
0.361 0.006 0.638 O
0.361 0.355 0.862 O
0.639 0.645 0.138 O
0.639 0.994 0.362 O
0.645 0.006 0.862 O
0.645 0.639 0.638 O
0.994 0.355 0.638 O
0.994 0.639 0.862 O